VASP calculation (PBE) on an optimized crystal structure of NbIn3F.

POSCAR file:
```
NbIn3F
1.0
4.697 0.000 0.000
0.000 4.697 0.000
0.000 0.000 4.697
Nb In F
1 3 1
direct
0.000 0.000 0.000 Nb
0.000 0.500 0.500 In
0.500 0.000 0.500 In
0.500 0.500 0.000 In
0.500 0.500 0.500 F
```

- polymorph energy (0 for the lowest one) (kJ/mol of formula units) = 0
- ρ (g cm⁻³) = 7.311
- calculated volume (Å³ per cell) = 103.6
- uncorrected formation energy (meV per atom) = -132